This record from Alexandria via LeMat-Bulk describes a relaxed Al2CrRe crystal. The functional is GGA-PBE.

abc: 4.964 4.964 4.964
angles: 142.80 129.84 64.07
Element x y z (fractional)
Re: 0.735 0.235 0.500
Al: 0.992 0.992 0.000
Al: 0.262 0.762 0.500
Cr: 0.511 0.511 0.000

Computed properties:
The raw total energy comes out at -7.5177 eV/atom. The energy above the most stable polymorph in this dataset comes out at 118 meV per atom. For the energy of formation, the calculation gives -129 meV/atom. The density comes out at 8.65 Mg/m³.